{
  "formula": "CaPtSe",
  "functional": "GGA-PBE",
  "state": "relaxed",
  "crystal_system": "hexagonal",
  "energy_ev_per_atom": -4.931,
  "lattice": [[4.360, 0.000, 0.000], [-2.180, 3.776, 0.000], [0.000, 0.000, 7.930]],
  "species": ["Ca", "Ca", "Pt", "Pt", "Se", "Se"],
  "fractional_positions": [[0.000, 0.000, 0.000], [0.000, 0.000, 0.500], [0.333, 0.667, 0.250], [0.667, 0.333, 0.750], [0.333, 0.667, 0.750], [0.667, 0.333, 0.250]]
}

***

{
  "formula": "Ti5C2O",
  "functional": "GGA-PBE",
  "state": "relaxed",
  "crystal_system": "orthorhombic",
  "energy_ev_per_atom": -8.857,
  "lattice": [[2.103, -4.856, 0.000], [2.103, 4.856, 0.000], [0.000, 0.000, 10.157]],
  "species": ["Ti", "Ti", "Ti", "Ti", "Ti", "Ti", "Ti", "Ti", "Ti", "Ti", "C", "C", "C", "C", "O", "O"],
  "fractional_positions": [[0.050, 0.950, 0.620], [0.050, 0.950, 0.880], [0.245, 0.755, 0.250], [0.334, 0.666, 0.565], [0.334, 0.666, 0.935], [0.666, 0.334, 0.065], [0.666, 0.334, 0.435], [0.755, 0.245, 0.750], [0.950, 0.050, 0.120], [0.950, 0.050, 0.380], [0.153, 0.847, 0.057], [0.153, 0.847, 0.443], [0.847, 0.153, 0.557], [0.847, 0.153, 0.943], [0.225, 0.775, 0.750], [0.775, 0.225, 0.250]]
}